# 1
A plane-wave DFT calculation with GGA-PBE was carried out for a geometry-optimized TlZn3 structure.

extended XYZ file:
```
4
Lattice="-1.705 2.803 -0.657 -0.151 -1.375 3.047 6.630 4.598 2.403" Properties=species:S:1:pos:R:3 pbc="T T T"
Tl 0.000 0.000 0.000
Zn 0.702 2.720 1.262
Zn 3.315 2.299 1.201
Zn 3.554 4.698 2.296
```

Results
raw total energy: -5.444 eV per cell
calculated volume: 20.403 A^3/atom
N(E_F): 0.79 states/eV per cell
total magnetic moment: 0.00 μB/cell
space-group type: P-6m2, No. 187
ΔE_f: 186 meV per atom

# 2
A plane-wave DFT calculation with GGA-PBE was carried out for a geometry-optimized TlZn structure.

extended XYZ file:
```
12
Lattice="14.830 0.000 0.000 0.000 3.285 0.000 0.000 0.000 5.909" Properties=species:S:1:pos:R:3 pbc="T T T"
Zn 1.843 0.000 3.729
Tl 4.446 1.642 3.792
Zn 5.572 1.642 0.774
Tl 2.968 0.000 0.838
Tl 11.861 0.000 0.838
Zn 0.000 1.642 2.767
Tl 7.415 0.000 2.886
Zn 9.257 1.642 0.774
Zn 12.987 0.000 3.729
Tl 0.000 1.642 5.841
Zn 7.415 0.000 5.722
Tl 10.383 1.642 3.792
```

Results
raw total energy: -20.172 eV per cell
calculated volume: 23.989 A^3/atom
N(E_F): 3.19 states/eV per cell
total magnetic moment: 0.00 μB/cell
space-group type: Imm2, No. 44
ΔE_f: 139 meV per atom

# 3
A plane-wave DFT calculation with GGA-PBE was carried out for a geometry-optimized TlZn3 structure.

extended XYZ file:
```
4
Lattice="-3.695 3.722 -0.096 -2.690 0.021 4.503 5.138 0.090 -1.051" Properties=species:S:1:pos:R:3 pbc="T T T"
Zn -3.192 1.872 2.204
Zn -0.372 0.991 2.828
Zn -0.874 2.842 0.529
Tl 0.000 0.000 0.000
```

Results
raw total energy: -5.340 eV per cell
calculated volume: 19.306 A^3/atom
N(E_F): 2.00 states/eV per cell
total magnetic moment: 0.00 μB/cell
space-group type: I4/mmm, No. 139
ΔE_f: 212 meV per atom

# 4
A plane-wave DFT calculation with GGA-PBE was carried out for a geometry-optimized TlZn2 structure.

extended XYZ file:
```
3
Lattice="-1.676 -0.614 4.158 3.562 -2.423 -1.384 2.282 2.609 1.305" Properties=species:S:1:pos:R:3 pbc="T T T"
Tl 0.000 0.000 0.000
Zn 2.955 -0.518 1.114
Zn 1.213 0.091 2.964
```

Results
raw total energy: -4.416 eV per cell
calculated volume: 21.891 A^3/atom
N(E_F): 1.71 states/eV per cell
total magnetic moment: 0.00 μB/cell
space-group type: P6/mmm, No. 191
ΔE_f: 166 meV per atom

# 5
A plane-wave DFT calculation with GGA-PBE was carried out for a geometry-optimized TlZn2 structure.

extended XYZ file:
```
6
Lattice="2.674 2.803 3.046 -4.444 1.524 -1.488 -2.590 -2.809 4.858" Properties=species:S:1:pos:R:3 pbc="T T T"
Tl -1.641 0.270 5.178
Zn -1.295 -1.404 2.429
Zn -0.346 1.675 2.749
Tl -2.719 1.248 1.238
Zn 0.000 0.000 0.000
Zn -4.013 -0.156 3.667
```

Results
raw total energy: -8.376 eV per cell
calculated volume: 21.663 A^3/atom
N(E_F): 1.63 states/eV per cell
total magnetic moment: 0.00 μB/cell
space-group type: P6_3/mmc, No. 194
ΔE_f: 242 meV per atom

# 6
A plane-wave DFT calculation with GGA-PBE was carried out for a geometry-optimized TlZn structure.

extended XYZ file:
```
32
Lattice="-5.816 -3.599 5.514 -7.932 -4.658 -11.406 3.228 -5.325 -0.071" Properties=species:S:1:pos:R:3 pbc="T T T"
Zn -6.228 -5.600 0.274
Zn -8.536 -8.714 -7.692
Zn -0.326 -5.653 -0.533
Tl -3.958 -7.753 -8.200
Tl -4.990 -2.963 -4.732
Zn -1.706 -6.463 -2.518
Tl -1.884 -1.166 1.786
Zn -3.042 -5.397 -6.731
Tl -6.006 -9.021 -6.258
Tl -8.480 -6.890 -5.408
Zn -6.184 -3.723 -1.953
Zn -7.200 -9.781 -3.479
Zn -7.565 -4.534 -3.939
Zn -1.984 -4.867 1.729
Tl -4.948 -8.491 2.202
Tl -4.236 -6.157 -3.952
Zn -4.848 -4.790 2.259
Tl -6.284 -7.425 -2.010
Zn -0.690 -0.405 -0.993
Tl -10.529 -8.158 -3.466
Zn -5.906 -5.319 -6.201
Tl -3.932 -2.433 3.728
Zn -1.662 -4.586 -4.746
Tl 0.590 -3.296 0.936
Tl -8.758 -5.294 -1.160
Zn -7.286 -6.130 -8.186
Tl -1.606 -2.762 -2.462
Tl -3.654 -4.029 -0.520
Zn -8.580 -10.592 -5.464
Zn -7.242 -4.252 -10.414
Tl -3.178 -5.628 4.508
Tl -2.900 -7.224 0.260
```

Results
raw total energy: -51.898 eV per cell
calculated volume: 25.055 A^3/atom
N(E_F): 10.96 states/eV per cell
total magnetic moment: 0.00 μB/cell
space-group type: Fddd, No. 70
ΔE_f: 198 meV per atom

# 7
A plane-wave DFT calculation with GGA-PBE was carried out for a geometry-optimized TlZn structure.

extended XYZ file:
```
4
Lattice="-4.638 -3.963 -1.946 -1.100 -6.283 -0.569 -3.881 -4.490 2.406" Properties=species:S:1:pos:R:3 pbc="T T T"
Tl -1.009 -1.546 -0.011
Zn -6.407 -9.816 -0.073
Tl -8.609 -13.190 -0.098
Zn -3.211 -4.920 -0.037
```

Results
raw total energy: -6.780 eV per cell
calculated volume: 25.137 A^3/atom
N(E_F): 1.29 states/eV per cell
total magnetic moment: 0.00 μB/cell
space-group type: R-3m, No. 166
ΔE_f: 125 meV per atom

# 8
A plane-wave DFT calculation with GGA-PBE was carried out for a geometry-optimized TlZn3 structure.

extended XYZ file:
```
4
Lattice="-2.298 2.881 -2.698 -4.282 0.909 -1.304 -1.644 4.434 3.930" Properties=species:S:1:pos:R:3 pbc="T T T"
Zn -2.108 2.317 0.278
Tl 0.000 0.000 0.000
Zn -6.116 5.907 -0.350
Zn -4.112 4.112 -0.036
```

Results
raw total energy: -5.629 eV per cell
calculated volume: 20.089 A^3/atom
N(E_F): 1.29 states/eV per cell
total magnetic moment: 0.00 μB/cell
space-group type: C2/m, No. 12
ΔE_f: 140 meV per atom

# 9
A plane-wave DFT calculation with GGA-PBE was carried out for a geometry-optimized TlZn2 structure.

extended XYZ file:
```
3
Lattice="6.185 -0.030 0.054 4.380 4.366 -0.054 -5.203 -2.363 2.367" Properties=species:S:1:pos:R:3 pbc="T T T"
Tl 0.000 0.000 0.000
Zn 3.207 1.316 0.000
Zn 7.358 3.020 0.000
```

Results
raw total energy: -4.415 eV per cell
calculated volume: 21.372 A^3/atom
N(E_F): 1.13 states/eV per cell
total magnetic moment: 0.00 μB/cell
space-group type: Immm, No. 71
ΔE_f: 166 meV per atom

# 10
A plane-wave DFT calculation with GGA-PBE was carried out for a geometry-optimized TlZn3 structure.

extended XYZ file:
```
8
Lattice="-0.991 -2.730 -3.141 1.246 -4.202 3.258 -6.477 -0.201 2.217" Properties=species:S:1:pos:R:3 pbc="T T T"
Tl -3.784 -0.117 1.295
Zn -5.829 -2.568 1.157
Tl -2.566 -3.549 0.980
Zn -5.193 -4.713 2.820
Zn -0.521 -1.098 1.119
Zn -4.497 -2.260 3.382
Zn -1.852 -1.407 -1.106
Zn 0.089 -3.155 2.714
```

Results
raw total energy: -11.643 eV per cell
calculated volume: 20.001 A^3/atom
N(E_F): 2.79 states/eV per cell
total magnetic moment: 0.00 μB/cell
space-group type: Pmmn, No. 59
ΔE_f: 92 meV per atom

# 11
A plane-wave DFT calculation with GGA-PBE was carried out for a geometry-optimized TlZn structure.

extended XYZ file:
```
8
Lattice="-1.840 1.895 3.439 -3.641 -4.427 0.492 4.974 -3.576 4.632" Properties=species:S:1:pos:R:3 pbc="T T T"
Tl -0.237 -2.445 2.587
Zn -1.384 -5.061 3.415
Tl -3.787 -3.128 3.799
Zn 2.049 -5.698 5.603
Tl 3.281 -2.980 4.764
Tl -0.270 -3.664 5.975
Zn -2.555 -0.410 2.960
Zn 0.878 -1.048 5.148
```

Results
raw total energy: -13.485 eV per cell
calculated volume: 23.951 A^3/atom
N(E_F): 2.54 states/eV per cell
total magnetic moment: 0.00 μB/cell
space-group type: Pnma, No. 62
ΔE_f: 134 meV per atom

# 12
A plane-wave DFT calculation with GGA-PBE was carried out for a geometry-optimized TlZn3 structure.

extended XYZ file:
```
4
Lattice="-1.244 -4.374 3.515 -3.230 -4.167 -2.287 4.938 2.941 -0.021" Properties=species:S:1:pos:R:3 pbc="T T T"
Zn -0.066 -3.103 -0.512
Zn -1.942 -4.385 0.893
Zn 1.169 -2.745 2.323
Tl 0.298 -0.116 0.282
```

Results
raw total energy: -5.373 eV per cell
calculated volume: 20.039 A^3/atom
N(E_F): 1.34 states/eV per cell
total magnetic moment: 0.00 μB/cell
space-group type: Imm2, No. 44
ΔE_f: 204 meV per atom

Which value of calculated volume does entry 4 give?
21.891 A^3/atom

What is the total magnetic moment in the sixth record?
0.00 μB/cell

Which of these has the lowest ΔE_f?
number 10